Compound: Na2SmSiS4
Source: Alexandria
Functional: PBE-GGA
Structure: optimized geometry

```
16
Lattice="-3.772 4.043 5.567 3.772 -4.043 5.567 3.772 4.043 -5.567" Properties=species:S:1:pos:R:3 pbc="T T T"
Na 0.000 0.000 0.000
Na -1.886 2.022 2.784
Na 0.000 4.043 0.000
Na 1.886 2.022 2.784
Sm 3.772 0.000 0.000
Sm 0.000 0.000 5.567
Si 1.886 2.022 -2.784
Si 1.886 -2.022 2.784
S 3.772 -0.322 2.770
S 3.772 3.721 -2.770
S 1.895 2.022 -0.296
S 5.648 2.022 -0.296
S -1.876 2.022 5.863
S 1.876 2.022 5.863
S 0.000 0.322 8.337
S 0.000 4.366 2.798
```

Output
E: -0.3524 Ry per atom
formation energy from raw total energies: -1.13 eV/atom



Compound: Gd2PaRh
Source: Alexandria
Functional: PBE-GGA
Structure: optimized geometry

```
4
Lattice="1.653 0.954 10.596 -1.653 0.954 10.596 0.000 -1.909 10.596" Properties=species:S:1:pos:R:3 pbc="T T T"
Gd 0.000 0.000 3.205
Gd 0.000 0.000 28.583
Pa 0.000 0.000 0.000
Rh 0.000 0.000 15.894
```

Output
E: -0.8236 Ry per atom
energy of formation: 0.047 eV/atom
energy relative to the lowest polymorph listed for this composition: 272 meV per atom



| no. | size of the total moment (μB/f.u.) |
| --- | --- |
| 1 | 0.00 |
| 2 | 14.00 |